Entry 1:
First-principles (PBE) data for TmSn2Pd7Au2 after structural relaxation, as listed in the Alexandria database.

Properties
DFT formation energy   -0.48 eV/atom
V   215 Å³/cell

The structure in CIF format:
```
data_TmSn2Pd7Au2
_cell_length_a 4.119
_cell_length_b 4.119
_cell_length_c 14.005
_cell_angle_alpha 72.42
_cell_angle_beta 72.42
_cell_angle_gamma 88.72
_space_group_name_H-M_alt 'P 1'
_space_group_IT_number 1
_space_group_name_Hall 'P 1'
loop_
_atom_site_label
_atom_site_type_symbol
_atom_site_fract_x
_atom_site_fract_y
_atom_site_fract_z
_atom_site_occupancy
Tm1 Tm 0.000 0.000 0.000 1
Sn1 Sn 0.681 0.681 0.320 1
Sn2 Sn 0.319 0.319 0.680 1
Pd1 Pd 0.500 0.500 0.000 1
Pd2 Pd 0.253 0.253 0.500 1
Pd3 Pd 0.747 0.747 0.500 1
Pd4 Pd 0.839 0.339 0.161 1
Pd5 Pd 0.339 0.839 0.161 1
Pd6 Pd 0.661 0.161 0.839 1
Pd7 Pd 0.161 0.661 0.839 1
Au1 Au 0.817 0.817 0.683 1
Au2 Au 0.183 0.183 0.317 1
```

---

Entry 2:
First-principles (PBE) data for Nd2AsS after structural relaxation, as listed in the Alexandria database.

Properties
V   105 Å³/cell
Offset from the most stable computed form   44 kJ/mol of formula units
Formation energy from raw total energies   -1683.3 meV per atom

The structure in CIF format:
```
data_Nd2AsS
_cell_length_a 4.100
_cell_length_b 4.100
_cell_length_c 7.604
_cell_angle_alpha 74.36
_cell_angle_beta 74.36
_cell_angle_gamma 60.00
_space_group_name_H-M_alt 'P 1'
_space_group_IT_number 1
_space_group_name_Hall 'P 1'
loop_
_atom_site_label
_atom_site_type_symbol
_atom_site_fract_x
_atom_site_fract_y
_atom_site_fract_z
_atom_site_occupancy
Nd1 Nd 0.080 0.080 0.760 1
Nd2 Nd 0.254 0.254 0.239 1
As1 As 0.668 0.668 0.997 1
S1 S 0.499 0.499 0.504 1
```

---

Entry 3:
First-principles (PBE) data for TlBi4Pb4 after structural relaxation, as listed in the Alexandria database.

Properties
DFT formation energy   0.11 eV/atom
V   653 Å³/cell

The structure in CIF format:
```
data_TlBi4Pb4
_cell_length_a 6.877
_cell_length_b 6.877
_cell_length_c 13.816
_cell_angle_alpha 90.00
_cell_angle_beta 90.00
_cell_angle_gamma 90.00
_space_group_name_H-M_alt 'P 1'
_space_group_IT_number 1
_space_group_name_Hall 'P 1'
loop_
_atom_site_label
_atom_site_type_symbol
_atom_site_fract_x
_atom_site_fract_y
_atom_site_fract_z
_atom_site_occupancy
Tl1 Tl 0.000 0.000 0.000 1
Tl2 Tl 0.500 0.500 0.500 1
Bi1 Bi 0.500 0.729 0.757 1
Bi2 Bi 0.500 0.271 0.757 1
Bi3 Bi 0.729 0.500 0.243 1
Bi4 Bi 0.271 0.500 0.243 1
Bi5 Bi 0.229 0.000 0.257 1
Bi6 Bi 0.771 0.000 0.257 1
Bi7 Bi 0.000 0.229 0.743 1
Bi8 Bi 0.000 0.771 0.743 1
Pb1 Pb 0.234 0.500 0.925 1
Pb2 Pb 0.766 0.500 0.925 1
Pb3 Pb 0.500 0.766 0.075 1
Pb4 Pb 0.500 0.234 0.075 1
Pb5 Pb 0.000 0.734 0.425 1
Pb6 Pb 0.000 0.266 0.425 1
Pb7 Pb 0.266 0.000 0.575 1
Pb8 Pb 0.734 0.000 0.575 1
```

---

Entry 4:
First-principles (PBE) data for KBaSb2 after structural relaxation, as listed in the Alexandria database.

Properties
V   325 Å³/cell
Offset from the most stable computed form   0 kJ/mol of formula units
Formation energy from raw total energies   -647.7 meV per atom

The structure in CIF format:
```
data_KBaSb2
_cell_length_a 5.113
_cell_length_b 6.555
_cell_length_c 9.688
_cell_angle_alpha 90.00
_cell_angle_beta 90.00
_cell_angle_gamma 90.00
_space_group_name_H-M_alt 'P 1'
_space_group_IT_number 1
_space_group_name_Hall 'P 1'
loop_
_atom_site_label
_atom_site_type_symbol
_atom_site_fract_x
_atom_site_fract_y
_atom_site_fract_z
_atom_site_occupancy
K1 K 0.500 0.371 0.313 1
K2 K 0.500 0.629 0.813 1
Ba1 Ba 0.000 0.140 0.689 1
Ba2 Ba 0.000 0.860 0.189 1
Sb1 Sb 0.000 0.653 0.528 1
Sb2 Sb 0.000 0.347 0.028 1
Sb3 Sb 0.500 0.875 0.470 1
Sb4 Sb 0.500 0.125 0.970 1
```

---

Entry 5:
First-principles (PBE) data for Pa4Co7Si6 after structural relaxation, as listed in the Alexandria database.

Properties
V   261 Å³/cell
Formation energy from raw total energies   -592.0 meV per atom

The structure in CIF format:
```
data_Pa4Co7Si6
_cell_length_a 6.974
_cell_length_b 6.974
_cell_length_c 6.974
_cell_angle_alpha 109.47
_cell_angle_beta 109.47
_cell_angle_gamma 109.47
_space_group_name_H-M_alt 'P 1'
_space_group_IT_number 1
_space_group_name_Hall 'P 1'
loop_
_atom_site_label
_atom_site_type_symbol
_atom_site_fract_x
_atom_site_fract_y
_atom_site_fract_z
_atom_site_occupancy
Pa1 Pa 0.500 0.000 0.000 1
Pa2 Pa 0.500 0.500 0.500 1
Pa3 Pa 0.000 0.500 0.000 1
Pa4 Pa 0.000 0.000 0.500 1
Co1 Co 0.750 0.500 0.250 1
Co2 Co 0.250 0.750 0.500 1
Co3 Co 0.500 0.750 0.250 1
Co4 Co 0.750 0.250 0.500 1
Co5 Co 0.250 0.500 0.750 1
Co6 Co 0.500 0.250 0.750 1
Co7 Co 0.000 0.000 0.000 1
Si1 Si 0.669 0.000 0.669 1
Si2 Si 0.669 0.669 0.000 1
Si3 Si 0.000 0.331 0.331 1
Si4 Si 0.331 0.000 0.331 1
Si5 Si 0.331 0.331 0.000 1
Si6 Si 0.000 0.669 0.669 1
```